VASP calculation (PBE) on a geometry-optimized Pm6SmY2Ho3 structure.

POSCAR file:
```
Pm6SmY2Ho3
1.0
-2.914 -5.316 1.535
6.210 0.444 0.593
-2.419 5.505 10.243
Pm Sm Y Ho
6 1 2 3
Direct
0.916 0.583 0.748 Pm
0.751 0.751 0.252 Pm
0.084 0.417 0.252 Pm
0.583 0.916 0.748 Pm
0.249 0.249 0.748 Pm
0.417 0.084 0.252 Pm
0.000 0.000 0.000 Sm
0.333 0.667 0.000 Y
0.667 0.333 0.000 Y
0.167 0.833 0.500 Ho
0.833 0.167 0.500 Ho
0.500 0.500 0.500 Ho
```

VASP energy = -4.978 eV per atom
Calculated volume = 33.01 Å³/atom
Symmetry = No. 12
Energy of formation from the pure elements = 0.012 eV per atom
DOS at the Fermi energy = 14.58 states/eV/f.u.

VASP calculation (PBE) on a geometry-optimized Pm2SmY6Ho3 structure.

POSCAR file:
```
Pm2SmY6Ho3
1.0
-3.226 3.612 -3.870
-2.888 -2.909 4.650
3.966 8.930 6.678
Pm Sm Y Ho
2 1 6 3
Direct
0.333 0.667 0.000 Pm
0.667 0.333 0.000 Pm
0.000 0.000 0.000 Sm
0.916 0.582 0.747 Y
0.751 0.751 0.253 Y
0.084 0.418 0.253 Y
0.582 0.916 0.747 Y
0.249 0.249 0.747 Y
0.418 0.084 0.253 Y
0.167 0.833 0.500 Ho
0.833 0.167 0.500 Ho
0.500 0.500 0.500 Ho
```

VASP energy = -5.542 eV per atom
Calculated volume = 32.33 Å³/atom
Symmetry = No. 12
Energy of formation from the pure elements = 0.019 eV per atom
DOS at the Fermi energy = 16.95 states/eV/f.u.

VASP calculation (PBE) on a geometry-optimized Pm2Sm6Y3Ho structure.

POSCAR file:
```
Pm2Sm6Y3Ho
1.0
6.256 0.000 0.006
-3.126 5.418 0.006
-1.051 -1.819 11.755
Pm Sm Y Ho
2 6 3 1
Direct
0.333 0.667 0.000 Pm
0.667 0.333 0.000 Pm
0.916 0.584 0.749 Sm
0.751 0.751 0.251 Sm
0.084 0.416 0.251 Sm
0.584 0.916 0.749 Sm
0.249 0.249 0.749 Sm
0.416 0.084 0.251 Sm
0.166 0.834 0.500 Y
0.834 0.166 0.500 Y
0.500 0.500 0.500 Y
0.000 0.000 0.000 Ho
```

VASP energy = -5.135 eV per atom
Calculated volume = 33.21 Å³/atom
Symmetry = No. 12
Energy of formation from the pure elements = 0.014 eV per atom
DOS at the Fermi energy = 15.72 states/eV/f.u.

VASP calculation (PBE) on a geometry-optimized Pm2Sm4Y2Ho structure.

POSCAR file:
```
Pm2Sm4Y2Ho
1.0
3.643 0.000 0.000
-1.822 9.432 -0.526
0.000 -3.707 8.945
Pm Sm Y Ho
2 4 2 1
Direct
0.334 0.668 0.000 Pm
0.666 0.332 0.000 Pm
0.815 0.630 0.667 Sm
0.185 0.370 0.333 Sm
0.518 0.037 0.333 Sm
0.482 0.963 0.667 Sm
0.852 0.705 0.334 Y
0.148 0.295 0.666 Y
0.000 0.000 0.000 Ho
```

VASP energy = -5.094 eV per atom
Calculated volume = 33.36 Å³/atom
Symmetry = No. 12
Energy of formation from the pure elements = 0.004 eV per atom
DOS at the Fermi energy = 11.80 states/eV/f.u.

VASP calculation (PBE) on a geometry-optimized Pm2SmY5Ho structure.

POSCAR file:
```
Pm2SmY5Ho
1.0
-3.016 -6.025 5.414
-0.048 -5.763 -6.441
8.915 3.818 2.316
Pm Sm Y Ho
4 2 10 2
Direct
0.118 0.382 0.000 Pm
0.618 0.118 0.000 Pm
0.382 0.882 0.000 Pm
0.882 0.618 0.000 Pm
0.250 0.750 0.500 Sm
0.750 0.250 0.500 Sm
0.930 0.430 0.277 Y
0.653 0.153 0.723 Y
0.070 0.570 0.723 Y
0.153 0.070 0.723 Y
0.570 0.653 0.723 Y
0.847 0.930 0.277 Y
0.430 0.347 0.277 Y
0.347 0.847 0.277 Y
0.500 0.500 0.000 Y
0.000 0.000 0.000 Y
0.250 0.250 0.500 Ho
0.750 0.750 0.500 Ho
```

VASP energy = -5.428 eV per atom
Calculated volume = 32.70 Å³/atom
Symmetry = No. 140
Energy of formation from the pure elements = 0.252 eV per atom
DOS at the Fermi energy = 10.82 states/eV/f.u.

VASP calculation (PBE) on a geometry-optimized Pm4Sm2YHo2 structure.

POSCAR file:
```
Pm4Sm2YHo2
1.0
5.110 0.000 0.000
-2.555 7.672 0.018
0.000 -2.580 7.632
Pm Sm Y Ho
4 2 1 2
Direct
0.778 0.555 0.669 Pm
0.222 0.445 0.331 Pm
0.555 0.110 0.332 Pm
0.445 0.890 0.668 Pm
0.888 0.777 0.331 Sm
0.112 0.223 0.669 Sm
0.000 0.000 0.000 Y
0.333 0.666 0.000 Ho
0.667 0.334 0.000 Ho
```

VASP energy = -4.877 eV per atom
Calculated volume = 33.27 Å³/atom
Symmetry = No. 12
Energy of formation from the pure elements = 0.018 eV per atom
DOS at the Fermi energy = 13.96 states/eV/f.u.

VASP calculation (PBE) on a geometry-optimized Pm2Sm2YHo4 structure.

POSCAR file:
```
Pm2Sm2YHo4
1.0
3.613 0.000 0.000
-1.806 9.367 -0.499
0.000 -3.713 8.865
Pm Sm Y Ho
2 2 1 4
Direct
0.334 0.668 0.999 Pm
0.666 0.332 0.001 Pm
0.853 0.705 0.336 Sm
0.147 0.295 0.664 Sm
0.000 0.000 0.000 Y
0.815 0.630 0.664 Ho
0.185 0.370 0.336 Ho
0.519 0.039 0.334 Ho
0.481 0.961 0.666 Ho
```

VASP energy = -4.855 eV per atom
Calculated volume = 32.59 Å³/atom
Symmetry = No. 12
Energy of formation from the pure elements = 0.002 eV per atom
DOS at the Fermi energy = 12.28 states/eV/f.u.

VASP calculation (PBE) on a geometry-optimized Pm2SmYHo2 structure.

POSCAR file:
```
Pm2SmYHo2
1.0
-1.538 -2.965 -0.622
2.587 -0.065 -6.087
14.435 -8.794 6.228
Pm Sm Y Ho
4 2 2 4
Direct
0.500 0.272 0.314 Pm
0.000 0.772 0.186 Pm
0.500 0.728 0.686 Pm
0.000 0.228 0.814 Pm
0.500 0.500 0.000 Sm
0.000 0.000 0.500 Sm
0.000 0.000 0.000 Y
0.500 0.500 0.500 Y
0.500 0.773 0.353 Ho
0.500 0.227 0.647 Ho
0.000 0.727 0.853 Ho
0.000 0.273 0.147 Ho
```

VASP energy = -4.709 eV per atom
Calculated volume = 33.74 Å³/atom
Symmetry = No. 58
Energy of formation from the pure elements = 0.264 eV per atom
DOS at the Fermi energy = 9.89 states/eV/f.u.